(1)
PmAlSb, optimized geometry, DFT PBE; relative energy among the computed polymorphs = 0.059 eV/atom; formation energy (no corrections) = -419 meV/atom
1.0
3.756 0.000 0.000
0.000 3.756 0.000
0.000 0.000 10.759
Pm Al Sb
2 2 2
Cartesian
0.000 0.000 0.000
1.878 1.878 5.379
0.000 0.000 3.322
1.878 1.878 8.701
0.000 0.000 7.467
1.878 1.878 2.087

***

(2)
Ag2PN, optimized geometry, DFT PBE; relative energy among the computed polymorphs = 0.000 eV/atom; formation energy (no corrections) = 1124 meV/atom
1.0
5.872 0.000 0.000
0.000 5.872 0.000
0.000 0.000 8.063
Ag P N
8 4 4
Cartesian
1.206 4.404 1.008
1.468 1.206 7.055
1.468 1.730 3.024
1.730 4.404 5.039
4.141 1.468 5.039
4.404 4.141 3.024
4.404 4.666 7.055
4.666 1.468 1.008
0.000 0.000 4.031
0.000 2.936 6.047
2.936 0.000 2.016
2.936 2.936 0.000
0.000 0.000 0.000
0.000 2.936 2.016
2.936 0.000 6.047
2.936 2.936 4.031

***

(3)
Pm2PrTh3As6, optimized geometry, DFT PBE; formation enthalpy at 0 K = -1.476 eV per atom
1.0
3.694 -6.389 0.000
3.694 6.389 0.000
-2.460 0.000 6.935
Pm Pr Th As
2 1 3 6
Cartesian
3.694 4.258 0.000
3.694 -4.258 0.000
3.694 0.000 0.000
-1.230 0.000 3.468
2.464 2.123 3.468
2.464 -2.123 3.468
-0.007 2.144 5.182
1.214 0.000 1.749
-0.007 -2.144 5.182
4.935 2.144 1.753
3.714 0.000 5.186
4.935 -2.144 1.753

***

(4)
SmCd2Pt2, optimized geometry, DFT PBE; relative energy among the computed polymorphs = 0.000 eV/atom; formation enthalpy at 0 K = -0.637 eV per atom
1.0
5.440 0.000 0.000
0.000 4.662 0.000
-2.613 0.000 8.672
Sm Cd Pt
2 4 4
Cartesian
0.110 1.166 2.353
2.717 3.497 6.319
-0.443 1.166 5.535
1.950 3.497 0.459
0.878 1.166 8.213
3.271 3.497 3.137
-1.851 1.166 8.008
0.564 3.497 4.266
2.264 1.166 4.406
4.678 3.497 0.664

***

(5)
AlV2Hg, optimized geometry, DFT PBE; relative energy among the computed polymorphs = 0.254 eV/atom; formation enthalpy at 0 K = 0.575 eV per atom
1.0
7.182 0.000 0.000
0.000 7.182 0.000
0.000 0.000 5.307
Al V Hg
4 8 4
Cartesian
0.000 0.000 0.000
0.000 3.591 1.327
3.591 0.000 3.981
3.591 3.591 2.654
1.734 1.796 0.663
1.796 5.325 1.990
1.796 5.448 4.644
1.857 1.796 3.317
5.325 5.387 3.317
5.387 1.734 4.644
5.387 1.857 1.990
5.448 5.387 0.663
0.000 0.000 2.654
0.000 3.591 3.981
3.591 0.000 1.327
3.591 3.591 0.000

***

(6)
PmCd2Ag, optimized geometry, DFT PBE; relative energy among the computed polymorphs = 0.118 eV/atom; formation enthalpy at 0 K = -0.186 eV per atom
1.0
4.487 0.000 0.000
0.000 4.487 0.000
0.000 0.000 4.871
Pm Cd Ag
1 2 1
Cartesian
0.000 0.000 0.000
0.000 2.244 2.435
2.244 0.000 2.435
2.244 2.244 0.000